! GGA-PBEsol TcMoIr2, relaxed; values from VASP
! - Relative energy among the computed polymorphs: 31 kJ/mol of formula units
! - Space group: I4/mmm
! - E_form: -0.2724 eV per atom
! - E_tot: -10.9426 eV per atom
! - Total magnetization: 0.0 Bohr magnetons per cell
! - Density of states at the Fermi level: 6.02 states/eV/cell
&SYSTEM
  ibrav = 0, nat = 8, ntyp = 3
/
ATOMIC_SPECIES
Tc 98.00 Tc.upf
Mo 95.94 Mo.upf
Ir 192.22 Ir.upf
ATOMIC_POSITIONS angstrom
Tc 0.000 0.000 0.000
Tc 1.915 1.915 3.876
Mo 0.000 0.000 3.876
Mo 1.915 1.915 0.000
Ir 0.000 1.915 1.938
Ir 0.000 1.915 5.815
Ir 1.915 0.000 1.938
Ir 1.915 0.000 5.815
CELL_PARAMETERS angstrom
3.831 0.000 0.000
0.000 3.831 0.000
0.000 0.000 7.753